A plane-wave DFT calculation with meta-GGA SCAN was carried out for NiCSeBr2 at its PBEsol-relaxed geometry.

Values from the calculation:
**Crystal system**: tetragonal
**Formation energy without anion corrections**: 1.466 eV/atom
**V**: 103.4 Å³/f.u.

Lattice parameters (Å, degrees): 4.5988 4.7421 4.7421 90.00 90.00 90.00
Last column: nearest neighbours and their distance in Å.
Positions (direct):
Ni1 0.0000 0.0000 0.0000  2 Se 2.30, 4 Br 2.37
C1 0.5000 0.5000 0.5000  8 Br 3.30, 4 Se 3.35
Se1 0.5000 0.0000 0.0000  2 Ni 2.30
Br1 0.0000 0.0000 0.5000  2 Ni 2.37
Br2 0.0000 0.5000 0.0000  2 Ni 2.37



A plane-wave DFT calculation with meta-GGA SCAN was carried out for Pb2CBr2O3 at its PBEsol-relaxed geometry.

Values from the calculation:
**Crystal system**: tetragonal
**Formation energy without anion corrections**: -1.283 eV/atom
**V**: 155.0 Å³/f.u.

Lattice parameters (Å, degrees): 8.2747 8.2747 9.0535 90.00 90.00 90.00
Last column: nearest neighbours and their distance in Å.
Positions (direct):
Br1 0.0000 0.0000 0.2395  4 Pb 3.11, 4 O 3.42
Br2 0.5000 0.5000 0.7605  4 Pb 3.11, 4 O 3.42
Br3 0.0000 0.0000 0.7605  4 Pb 3.11, 4 O 3.42
Br4 0.5000 0.5000 0.2395  4 Pb 3.11, 4 O 3.42
Br5 0.3508 0.8508 0.5000  6 Pb 3.14-3.40, 2 O 3.39, 1 Br 3.49
Br6 0.6492 0.1492 0.5000  6 Pb 3.14-3.40, 2 O 3.39, 1 Br 3.49
Br7 0.1492 0.3508 0.5000  6 Pb 3.14-3.40, 2 O 3.39, 1 Br 3.49
Br8 0.8508 0.6492 0.5000  6 Pb 3.14-3.40, 2 O 3.39, 1 Br 3.49
C1 0.3232 0.8232 0.0000  3 O 1.29-1.31
C2 0.6768 0.1768 0.0000  3 O 1.29-1.31
C3 0.1768 0.3232 0.0000  3 O 1.29-1.31
C4 0.8232 0.6768 0.0000  3 O 1.29-1.31
O1 0.2110 0.7110 0.0000  1 C 1.31
O2 0.7890 0.2890 0.0000  1 C 1.31
O3 0.2890 0.2110 0.0000  1 C 1.31
O4 0.7110 0.7890 0.0000  1 C 1.31
O5 0.3731 0.8731 0.1268  1 C 1.29
O6 0.6269 0.1269 0.1268  1 C 1.29
O7 0.1269 0.3731 0.1268  1 C 1.29
O8 0.8731 0.6269 0.1268  1 C 1.29
O9 0.1269 0.3731 0.8732  1 C 1.29
O10 0.8731 0.6269 0.8732  1 C 1.29
O11 0.3731 0.8731 0.8732  1 C 1.29
O12 0.6269 0.1269 0.8732  1 C 1.29
Pb1 0.1616 0.6616 0.2538  1 O 2.37
Pb2 0.8384 0.3384 0.2538  1 O 2.37
Pb3 0.3384 0.1616 0.2538  1 O 2.37
Pb4 0.6616 0.8384 0.2538  1 O 2.37
Pb5 0.3384 0.1616 0.7462  1 O 2.37
Pb6 0.6616 0.8384 0.7462  1 O 2.37
Pb7 0.1616 0.6616 0.7462  1 O 2.37
Pb8 0.8384 0.3384 0.7462  1 O 2.37



A plane-wave DFT calculation with meta-GGA SCAN was carried out for PdCBr3 at its PBEsol-relaxed geometry.

Values from the calculation:
**Crystal system**: cubic
**Formation energy without anion corrections**: 1.363 eV/atom
**V**: 124.0 Å³/f.u.

Lattice parameters (Å, degrees): 4.9864 4.9864 4.9864 90.00 90.00 90.00
Last column: nearest neighbours and their distance in Å.
Positions (direct):
C1 0.5000 0.5000 0.5000  12 Br 3.53
Br1 0.0000 0.5000 0.0000  2 Pd 2.49
Br2 0.0000 0.0000 0.5000  2 Pd 2.49
Br3 0.5000 0.0000 0.0000  2 Pd 2.49
Pd1 0.0000 0.0000 0.0000  6 Br 2.49



A plane-wave DFT calculation with meta-GGA SCAN was carried out for Sr2PdCBr at its PBEsol-relaxed geometry.

Values from the calculation:
**Crystal system**: tetragonal
**Formation energy without anion corrections**: -0.759 eV/atom
**V**: 117.1 Å³/f.u.

Lattice parameters (Å, degrees): 3.8957 5.4822 5.4822 90.00 90.00 90.00
Last column: nearest neighbours and their distance in Å.
Positions (direct):
Sr1 0.0000 0.0000 0.5000  2 C 2.74
Sr2 0.0000 0.5000 0.0000  2 C 2.74
C1 0.0000 0.0000 0.0000  2 Pd 1.95
Br1 0.5000 0.5000 0.5000  8 Sr 3.36
Pd1 0.5000 0.0000 0.0000  2 C 1.95



A plane-wave DFT calculation with meta-GGA SCAN was carried out for Pr10C4Br15 at its PBEsol-relaxed geometry.

Values from the calculation:
**Crystal system**: triclinic
**Formation energy without anion corrections**: -1.703 eV/atom
**V**: 845.8 Å³/f.u.

Lattice parameters (Å, degrees): 9.1026 10.0507 10.9922 70.31 66.34 70.98
Last column: nearest neighbours and their distance in Å.
Positions (direct):
Pr1 0.3346 0.7528 0.8316  2 C 2.57
Pr2 0.6654 0.2472 0.1684  2 C 2.57
Pr3 0.1717 0.4295 0.0463  4 C 2.65-2.70
Pr4 0.8283 0.5705 0.9537  4 C 2.65-2.70
Pr5 0.0804 0.1773 0.8850  1 C 2.31
Pr6 0.9196 0.8227 0.1150  1 C 2.31
Pr7 0.2482 0.5382 0.6424  1 C 2.30
Pr8 0.7518 0.4618 0.3576  1 C 2.30
Pr9 0.0282 0.1021 0.2656  2 C 2.58-2.59
Pr10 0.9718 0.8979 0.7344  2 C 2.58-2.59
C1 0.8798 0.3600 0.1714  1 C 1.40
C2 0.1202 0.6400 0.8286  1 C 1.40
C3 0.9565 0.2954 0.0604  1 C 1.40
C4 0.0435 0.7046 0.9396  1 C 1.40
Br1 0.5000 0.5000 0.0000  4 Pr 2.95-3.10
Br2 0.1313 0.8138 0.4669  3 Pr 2.94-3.12
Br3 0.8687 0.1862 0.5331  3 Pr 2.94-3.12
Br4 0.2601 0.0274 0.6402  3 Pr 2.92-3.13
Br5 0.7399 0.9726 0.3598  3 Pr 2.92-3.13
Br6 0.3377 0.1654 0.2207  3 Pr 2.90-3.13
Br7 0.6623 0.8346 0.7793  3 Pr 2.90-3.13
Br8 0.4523 0.3660 0.4133  3 Pr 2.95-3.14
Br9 0.5477 0.6340 0.5867  3 Pr 2.95-3.14
Br10 0.9445 0.4436 0.7023  3 Pr 2.97-3.09
Br11 0.0555 0.5564 0.2977  3 Pr 2.97-3.09
Br12 0.2352 0.9072 0.0621  4 Pr 3.04-3.09
Br13 0.7648 0.0928 0.9379  4 Pr 3.04-3.09
Br14 0.3889 0.2700 0.8176  3 Pr 2.97-3.08
Br15 0.6111 0.7300 0.1824  3 Pr 2.97-3.08



A plane-wave DFT calculation with meta-GGA SCAN was carried out for Pr2CBr at its PBEsol-relaxed geometry.

Values from the calculation:
**Crystal system**: hexagonal
**Formation energy without anion corrections**: -1.057 eV/atom
**V**: 92.2 Å³/f.u.

Lattice parameters (Å, degrees): 3.7915 3.7915 14.8142 90.00 90.00 120.00
Last column: nearest neighbours and their distance in Å.
Positions (direct):
Pr1 0.3333 0.6667 0.4066  3 C 2.59
Pr2 0.6667 0.3333 0.9066  3 C 2.59
Pr3 0.6667 0.3333 0.5934  3 C 2.59
Pr4 0.3333 0.6667 0.0934  3 C 2.59
C1 0.0000 0.0000 0.5000  6 Pr 2.59
C2 0.0000 0.0000 0.0000  6 Pr 2.59
Br1 0.6667 0.3333 0.2500  6 Pr 3.19
Br2 0.3333 0.6667 0.7500  6 Pr 3.19



A plane-wave DFT calculation with meta-GGA SCAN was carried out for Pr3CBr5 at its PBEsol-relaxed geometry.

Values from the calculation:
**Crystal system**: triclinic
**Formation energy without anion corrections**: -1.785 eV/atom
**V**: 276.2 Å³/f.u.

Lattice parameters (Å, degrees): 7.5589 9.0074 9.1053 107.82 97.56 105.68
Last column: nearest neighbours and their distance in Å.
Positions (direct):
Pr1 0.8866 0.9568 0.2345  2 C 2.59-2.61
Pr2 0.1134 0.0432 0.7655  2 C 2.59-2.61
Pr3 0.0287 0.7158 0.9175  2 C 2.60-2.62
Pr4 0.9713 0.2842 0.0825  2 C 2.60-2.62
Pr5 0.6035 0.8448 0.7969  1 C 2.31
Pr6 0.3965 0.1552 0.2031  1 C 2.31
C1 0.9073 0.9658 0.9538  1 C 1.40
C2 0.0927 0.0342 0.0462  1 C 1.40
Br1 0.7442 0.9127 0.5319  3 Pr 2.92-3.14
Br2 0.2558 0.0873 0.4681  3 Pr 2.92-3.14
Br3 0.4562 0.8158 0.0872  4 Pr 3.06-3.15
Br4 0.5438 0.1842 0.9128  4 Pr 3.06-3.15
Br5 0.8264 0.2744 0.3644  3 Pr 2.93-3.12
Br6 0.1736 0.7256 0.6356  3 Pr 2.93-3.12
Br7 0.9072 0.6262 0.1809  3 Pr 2.92-3.12
Br8 0.0928 0.3738 0.8191  3 Pr 2.92-3.12
Br9 0.6488 0.5261 0.7184  2 Pr 2.87-2.92
Br10 0.3512 0.4739 0.2816  2 Pr 2.87-2.92



A plane-wave DFT calculation with meta-GGA SCAN was carried out for Pr4C2Br5 at its PBEsol-relaxed geometry.

Values from the calculation:
**Crystal system**: monoclinic
**Formation energy without anion corrections**: -1.564 eV/atom
**V**: 294.8 Å³/f.u.

Lattice parameters (Å, degrees): 3.9001 8.1825 9.8223 106.02 101.45 90.00
Last column: nearest neighbours and their distance in Å.
Positions (direct):
Pr1 0.0003 0.7050 0.0006  4 C 2.65-2.67
Pr2 0.6608 0.6135 0.3215  1 C 2.27
Pr3 0.9997 0.2950 0.9994  4 C 2.65-2.67
Pr4 0.3392 0.3865 0.6785  1 C 2.27
C1 0.4621 0.4733 0.9243  1 C 1.40
C2 0.5379 0.5267 0.0757  1 C 1.40
Br1 0.8342 0.6633 0.6684  4 Pr 3.01-3.25
Br2 0.8378 0.1153 0.6757  3 Pr 2.95-3.05
Br3 0.1622 0.8847 0.3243  3 Pr 2.95-3.05
Br4 0.1658 0.3367 0.3316  4 Pr 3.01-3.25
Br5 0.5000 0.0000 0.0000  4 Pr 3.10



A plane-wave DFT calculation with meta-GGA SCAN was carried out for Pt2CBr at its PBEsol-relaxed geometry.

Values from the calculation:
**Crystal system**: tetragonal
**Formation energy without anion corrections**: 0.601 eV/atom
**V**: 68.3 Å³/f.u.

Lattice parameters (Å, degrees): 5.7496 5.7496 5.7496 88.08 61.10 118.90
Last column: nearest neighbours and their distance in Å.
Positions (direct):
C1 0.0000 0.5000 0.5000  4 Pt 1.97
C2 0.5000 0.7500 0.7500  4 Pt 1.97
Br1 0.0000 0.0000 0.0000  4 Pt 2.72
Br2 0.5000 0.2500 0.2500  4 Pt 2.72
Pt1 0.1040 0.4790 0.1250  2 C 1.97
Pt2 0.8960 0.7710 0.6250  2 C 1.97
Pt3 0.3960 0.6250 0.4790  2 C 1.97
Pt4 0.6040 0.1250 0.7710  2 C 1.97



A plane-wave DFT calculation with meta-GGA SCAN was carried out for PtC2Br2 at its PBEsol-relaxed geometry.

Values from the calculation:
**Crystal system**: tetragonal
**Formation energy without anion corrections**: 2.614 eV/atom
**V**: 82.6 Å³/f.u.

Lattice parameters (Å, degrees): 3.3165 7.0561 7.0561 90.00 90.00 90.00
Last column: nearest neighbours and their distance in Å.
Positions (direct):
C1 0.5000 0.2159 0.7159  2 Br 2.02
C2 0.5000 0.7159 0.7841  2 Br 2.02
C3 0.5000 0.7841 0.2841  2 Br 2.02
C4 0.5000 0.2841 0.2159  2 Br 2.02
Br1 0.0000 0.3319 0.8319  2 C 2.02
Br2 0.0000 0.8319 0.6681  2 C 2.02
Br3 0.0000 0.6681 0.1681  2 C 2.02
Br4 0.0000 0.1681 0.3319  2 C 2.02
Pt1 0.0000 0.0000 0.0000  4 Br 2.63
Pt2 0.0000 0.5000 0.5000  4 Br 2.63



A plane-wave DFT calculation with meta-GGA SCAN was carried out for Pt2RhCBr at its PBEsol-relaxed geometry.

Values from the calculation:
**Crystal system**: tetragonal
**Formation energy without anion corrections**: 2.595 eV/atom
**V**: 96.6 Å³/f.u.

Lattice parameters (Å, degrees): 4.5021 4.6328 4.6328 90.00 90.00 90.00
Last column: nearest neighbours and their distance in Å.
Positions (direct):
C1 0.5000 0.5000 0.5000  8 Pt 3.23, 4 Rh 3.28
Rh1 0.5000 0.0000 0.0000  2 Br 2.25
Br1 0.0000 0.0000 0.0000  2 Rh 2.25, 4 Pt 2.32
Pt1 0.0000 0.0000 0.5000  2 Br 2.32
Pt2 0.0000 0.5000 0.0000  2 Br 2.32



A plane-wave DFT calculation with meta-GGA SCAN was carried out for ReC2Br at its PBEsol-relaxed geometry.

Values from the calculation:
**Crystal system**: cubic
**Formation energy without anion corrections**: 3.039 eV/atom
**V**: 42.7 Å³/f.u.

Lattice parameters (Å, degrees): 3.9228 3.9228 3.9228 60.00 60.00 60.00
Last column: nearest neighbours and their distance in Å.
Positions (direct):
Re1 0.5000 0.5000 0.5000  8 C 2.40
C1 0.2500 0.2500 0.2500  4 Br 2.40, 4 Re 2.40
C2 0.7500 0.7500 0.7500  4 Re 2.40, 4 Br 2.40
Br1 0.0000 0.0000 0.0000  8 C 2.40